# 1
Sr2DyZnO5 PBE relaxed; formation energy from raw total energies = -22.0 eV/f.u.; symmetry = Cmc2_1, No. 36; density of states at the Fermi level = 0.79 states/eV per atom; size of the total moment = 1.0 μB/f.u.
1.0
3.463 0.000 0.000
-1.732 7.185 0.000
0.000 0.000 10.618
Sr Dy Zn O
4 2 2 10
Direct
0.872 0.743 0.795
0.115 0.230 0.696
0.128 0.257 0.295
0.885 0.770 0.196
0.791 0.582 0.503
0.209 0.418 0.003
0.506 0.012 0.977
0.494 0.988 0.477
0.365 0.729 0.006
0.698 0.396 0.864
0.501 0.002 0.791
0.292 0.584 0.647
0.951 0.903 0.545
0.635 0.271 0.506
0.302 0.604 0.364
0.499 0.998 0.291
0.708 0.416 0.147
0.049 0.097 0.045

# 2
DyTaO4 PBE relaxed; formation energy from raw total energies = -19.6 eV/f.u.; symmetry = C2/c, No. 15; density of states at the Fermi level = 0.00 states/eV per atom; size of the total moment = 0.0 μB/f.u.
1.0
-3.947 -4.297 -3.003
6.268 -0.146 -1.938
1.878 -4.724 0.395
Dy Ta O
2 2 8
Direct
0.631 0.369 0.750
0.369 0.631 0.250
0.101 0.899 0.750
0.899 0.101 0.250
0.276 0.213 0.287
0.634 0.053 0.159
0.724 0.787 0.713
0.053 0.634 0.659
0.787 0.724 0.213
0.947 0.366 0.341
0.366 0.947 0.841
0.213 0.276 0.787

# 3
DyTaO4 PBE relaxed; formation energy from raw total energies = -19.6 eV/f.u.; symmetry = P2/c, No. 13; density of states at the Fermi level = 0.00 states/eV per atom; size of the total moment = 0.0 μB/f.u.
1.0
5.521 0.000 0.000
0.000 5.152 -0.003
0.000 0.609 5.306
Dy Ta O
2 2 8
Direct
0.767 0.000 0.750
0.233 0.000 0.250
0.693 0.500 0.250
0.307 0.500 0.750
0.564 0.269 0.005
0.564 0.731 0.495
0.436 0.731 0.995
0.436 0.269 0.505
0.086 0.750 0.601
0.086 0.250 0.899
0.914 0.250 0.399
0.914 0.750 0.101

# 4
DyTaO4 PBE relaxed; formation energy from raw total energies = -19.2 eV/f.u.; symmetry = P2_1/c, No. 14; density of states at the Fermi level = 0.00 states/eV per atom; size of the total moment = 0.0 μB/f.u.
1.0
5.002 0.000 0.000
0.000 5.824 0.131
0.000 -2.190 5.477
Dy Ta O
2 2 8
Direct
0.000 0.500 0.500
0.500 0.000 0.500
0.500 0.500 0.000
0.000 0.000 0.000
0.287 0.817 0.121
0.213 0.317 0.121
0.659 0.619 0.324
0.159 0.881 0.676
0.841 0.119 0.324
0.341 0.381 0.676
0.787 0.683 0.879
0.713 0.183 0.879

# 5
DyTa7O19 PBE relaxed; formation energy from raw total energies = -79.1 eV/f.u.; symmetry = P-6c2, No. 188; density of states at the Fermi level = 0.00 states/eV per atom; size of the total moment = 0.0 μB/f.u.
1.0
6.269 0.000 0.000
-3.135 5.429 0.000
0.000 0.000 20.073
Dy Ta O
2 14 38
Direct
0.000 0.000 0.500
0.000 0.000 0.000
0.692 0.667 0.345
0.974 0.667 0.655
0.974 0.308 0.345
0.333 0.026 0.345
0.974 0.308 0.155
0.333 0.026 0.155
0.692 0.667 0.155
0.333 0.308 0.845
0.692 0.026 0.845
0.692 0.026 0.655
0.333 0.308 0.655
0.974 0.667 0.845
0.667 0.333 0.500
0.667 0.333 0.000
0.000 0.000 0.369
0.000 0.000 0.131
0.000 0.000 0.631
0.000 0.000 0.869
0.667 0.333 0.334
0.667 0.333 0.166
0.667 0.333 0.666
0.667 0.333 0.834
0.579 0.912 0.347
0.334 0.912 0.653
0.334 0.421 0.347
0.088 0.666 0.347
0.334 0.421 0.153
0.088 0.666 0.153
0.579 0.912 0.153
0.088 0.421 0.847
0.956 0.708 0.750
0.292 0.249 0.750
0.751 0.044 0.750
0.751 0.708 0.250
0.292 0.044 0.250
0.956 0.249 0.250
0.903 0.623 0.944
0.377 0.281 0.556
0.719 0.097 0.556
0.719 0.097 0.944
0.377 0.281 0.944
0.719 0.623 0.056
0.377 0.097 0.056
0.903 0.281 0.056
0.377 0.097 0.444
0.903 0.281 0.444
0.903 0.623 0.556
0.719 0.623 0.444
0.334 0.912 0.847
0.088 0.421 0.653
0.579 0.666 0.653
0.579 0.666 0.847

# 6
Dy6TaO12 PBE relaxed; formation energy from raw total energies = -64.4 eV/f.u.; symmetry = R-3, No. 148; density of states at the Fermi level = 0.35 states/eV per atom; size of the total moment = 1.1 μB/f.u.
1.0
-5.606 -0.596 3.205
-1.587 -3.252 -5.382
3.362 -4.655 3.014
Dy Ta O
6 1 12
Direct
0.698 0.861 0.389
0.611 0.302 0.139
0.139 0.611 0.302
0.302 0.139 0.611
0.389 0.698 0.861
0.861 0.389 0.698
0.000 0.000 0.000
0.822 0.563 0.414
0.414 0.822 0.563
0.563 0.414 0.822
0.178 0.437 0.586
0.586 0.178 0.437
0.437 0.586 0.178
0.073 0.958 0.303
0.042 0.697 0.927
0.697 0.927 0.042
0.927 0.042 0.697
0.958 0.303 0.073
0.303 0.073 0.958

# 7
DyTaO4 PBE relaxed; formation energy from raw total energies = -19.5 eV/f.u.; symmetry = P2_1/c, No. 14; density of states at the Fermi level = 0.00 states/eV per atom; size of the total moment = 0.0 μB/f.u.
1.0
5.344 0.000 0.000
0.000 7.520 -1.114
0.000 -0.007 7.608
Dy Ta O
4 4 16
Direct
0.720 0.354 0.611
0.780 0.354 0.111
0.220 0.646 0.889
0.280 0.646 0.389
0.230 0.164 0.814
0.270 0.164 0.314
0.730 0.836 0.686
0.770 0.836 0.186
0.903 0.066 0.692
0.597 0.066 0.192
0.372 0.170 0.563
0.128 0.170 0.063
0.505 0.324 0.881
0.015 0.390 0.828
0.995 0.324 0.381
0.485 0.390 0.328
0.515 0.610 0.672
0.005 0.676 0.619
0.985 0.610 0.172
0.495 0.676 0.119
0.872 0.830 0.937
0.628 0.830 0.437
0.403 0.934 0.808
0.097 0.934 0.308

# 8
Dy2TaO6 PBE relaxed; formation energy from raw total energies = -27.3 eV/f.u.; symmetry = P4_2/mnm, No. 136; density of states at the Fermi level = 0.55 states/eV per atom; size of the total moment = 1.0 μB/f.u.
1.0
5.053 0.000 0.000
0.000 5.053 0.000
0.000 0.000 10.113
Dy Ta O
4 2 12
Direct
0.000 0.000 0.331
0.500 0.500 0.831
0.500 0.500 0.169
0.000 0.000 0.669
0.000 0.000 0.000
0.500 0.500 0.500
0.314 0.314 0.352
0.686 0.686 0.352
0.186 0.814 0.852
0.814 0.186 0.852
0.186 0.814 0.148
0.814 0.186 0.148
0.314 0.314 0.648
0.686 0.686 0.648
0.282 0.282 0.000
0.718 0.718 0.000
0.218 0.782 0.500
0.782 0.218 0.500

# 9
DyTaTi2O8 PBE relaxed; formation energy from raw total energies = -36.8 eV/f.u.; symmetry = C2/m, No. 12; density of states at the Fermi level = 0.00 states/eV per atom; size of the total moment = 0.0 μB/f.u.
1.0
-3.645 -2.565 -1.789
2.063 -4.211 1.036
-2.936 -0.285 5.766
Dy Ta Ti O
1 1 2 8
Direct
0.000 0.000 0.500
0.000 0.000 0.000
0.459 0.459 0.744
0.541 0.541 0.256
0.208 0.792 0.224
0.710 0.710 0.023
0.792 0.208 0.224
0.792 0.208 0.776
0.290 0.290 0.977
0.208 0.792 0.776
0.678 0.678 0.487
0.322 0.322 0.513

# 10
DyTm2TaO8 PBE relaxed; formation energy from raw total energies = -35.4 eV/f.u.; symmetry = Cmmm, No. 65; density of states at the Fermi level = 0.74 states/eV per atom; size of the total moment = 2.0 μB/f.u.
1.0
5.027 -0.036 -0.003
-0.008 5.029 -0.006
0.004 0.008 6.806
Dy Tm Ta O
1 2 1 8
Direct
0.000 0.000 0.500
0.500 0.500 0.752
0.500 0.500 0.248
0.000 0.000 0.000
0.188 0.812 0.219
0.717 0.717 0.000
0.812 0.188 0.220
0.812 0.188 0.781
0.283 0.283 0.000
0.188 0.812 0.780
0.689 0.689 0.500
0.311 0.311 0.500

# 11
TbDy3O6 PBE relaxed; formation energy from raw total energies = -35.5 eV/f.u.; E above lowest polymorph = 0.000 eV per atom; symmetry = R-3, No. 148; density of states at the Fermi level = 0.00 states/eV per atom; size of the total moment = 0.0 μB/f.u.
1.0
-1.441 3.470 -5.604
-6.551 -0.791 1.407
0.281 5.668 3.649
Tb Dy O
2 6 12
Direct
0.000 0.000 0.000
0.500 0.500 0.500
0.445 0.937 0.749
0.937 0.749 0.445
0.251 0.555 0.063
0.749 0.445 0.937
0.063 0.251 0.555
0.555 0.063 0.251
0.317 0.904 0.071
0.096 0.929 0.683
0.603 0.819 0.471
0.929 0.683 0.096
0.471 0.603 0.819
0.181 0.529 0.397
0.819 0.471 0.603
0.529 0.397 0.181
0.071 0.317 0.904
0.397 0.181 0.529
0.904 0.071 0.317
0.683 0.096 0.929

# 12
TbDyO3 PBE relaxed; formation energy from raw total energies = -16.9 eV/f.u.; symmetry = P-6m2, No. 187; density of states at the Fermi level = 0.00 states/eV per atom; size of the total moment = 0.0 μB/f.u.
1.0
3.066 0.000 0.000
0.000 5.187 2.984
0.000 0.010 5.983
Tb Dy O
1 1 3
Direct
0.220 0.099 0.062
0.220 0.433 0.395
0.720 0.267 0.727
0.720 0.267 0.229
0.720 0.765 0.230

# 13
TbDy3O PBE relaxed; formation energy from raw total energies = -5.5 eV/f.u.; symmetry = Pm-3m, No. 221; density of states at the Fermi level = 0.98 states/eV per atom; size of the total moment = 0.0 μB/f.u.
1.0
4.938 0.000 0.000
0.000 4.938 0.000
0.000 0.000 4.938
Tb O Dy
1 1 3
Direct
0.500 0.500 0.500
0.000 0.000 0.000
0.000 0.500 0.000
0.000 0.000 0.500
0.500 0.000 0.000

# 14
Tb3DyO6 PBE relaxed; formation energy from raw total energies = -35.5 eV/f.u.; symmetry = R-3, No. 148; density of states at the Fermi level = 0.00 states/eV per atom; size of the total moment = 0.0 μB/f.u.
1.0
-1.786 -6.527 0.059
2.689 -0.489 6.190
-5.989 1.854 2.546
Tb Dy O
6 2 12
Direct
0.444 0.937 0.749
0.937 0.749 0.444
0.251 0.556 0.063
0.749 0.444 0.937
0.063 0.251 0.556
0.556 0.063 0.251
0.000 0.000 0.000
0.500 0.500 0.500
0.315 0.905 0.070
0.095 0.930 0.685
0.601 0.817 0.470
0.930 0.685 0.095
0.470 0.601 0.817
0.183 0.530 0.399
0.817 0.470 0.601
0.530 0.399 0.183
0.070 0.315 0.905
0.399 0.183 0.530
0.905 0.070 0.315
0.685 0.095 0.930

# 15
TbDy3O6 PBE relaxed; formation energy from raw total energies = -35.3 eV/f.u.; E above lowest polymorph = 0.021 eV per atom; symmetry = R3, No. 146; density of states at the Fermi level = 0.00 states/eV per atom; size of the total moment = 0.0 μB/f.u.
1.0
5.826 0.000 0.000
2.913 5.045 0.000
2.913 1.682 5.065
Tb Dy O
1 3 6
Direct
0.859 0.859 0.422
0.358 0.358 0.925
0.642 0.642 0.074
0.142 0.142 0.575
0.957 0.540 0.250
0.253 0.957 0.250
0.540 0.253 0.250
0.042 0.457 0.751
0.750 0.042 0.751
0.457 0.750 0.751

# 16
TbDyO3 PBE relaxed; formation energy from raw total energies = -16.9 eV/f.u.; symmetry = R32, No. 155; density of states at the Fermi level = 0.00 states/eV per atom; size of the total moment = 0.0 μB/f.u.
1.0
-3.307 -0.323 4.559
1.174 -3.717 4.079
2.398 2.402 5.400
Tb Dy O
2 2 6
Direct
0.146 0.146 0.562
0.854 0.854 0.438
0.353 0.353 0.941
0.647 0.647 0.059
0.253 0.956 0.249
0.956 0.542 0.249
0.542 0.253 0.249
0.747 0.458 0.751
0.044 0.747 0.751
0.458 0.044 0.751

# 17
TbDy2TcO8 PBE relaxed; formation energy from raw total energies = -31.6 eV/f.u.; symmetry = Cmmm, No. 65; size of the total moment = 0.0 μB/f.u.
1.0
-1.481 2.885 3.875
-2.883 -3.798 1.669
5.164 -2.300 3.685
Tb Dy Tc O
1 2 1 8
Direct
0.000 0.000 0.500
0.500 0.500 0.749
0.500 0.500 0.251
0.000 0.000 0.000
0.182 0.818 0.207
0.732 0.733 0.000
0.818 0.182 0.207
0.818 0.182 0.793
0.268 0.267 0.000
0.182 0.818 0.793
0.692 0.692 0.500
0.308 0.308 0.500